A relaxed structure of Cd2RhW. Source: Alexandria, functional PBE-GGA.

## Properties
Its total magnetization is 0.00 μB/cell. As for the crystal system: monoclinic. Its formation energy from the elements is 0.28 eV/atom. The space group is Pm (6). For the final energy, the calculation gives -5.25 eV per atom. As for the polymorph energy (0 for the lowest one): 0.85 eV per formula unit.

a b c (Å): 2.846 4.458 5.754
angles (deg): 90.00 101.81 90.00
Fractional positions:
Cd  0.000  0.000  0.000
Cd  0.296  0.500  0.734
Rh  0.688  0.500  0.268
W  0.634  0.000  0.464